18
Lattice="7.480 -7.502 0.000 7.480 7.502 0.000 0.000 0.000 5.001" Properties=species:S:1:pos:R:3 comment="Y5Er12Th | the Alexandria database | PBE | optimized geometry" final_energy_ev_per_atom=-5.22 delta_e_f_ev_per_atom=0.030 spacegroup="No. 65" pbc="T T T"
Y 0.000 0.000 0.000
Y 7.480 5.008 2.500
Y 7.480 2.471 0.000
Y 7.480 -2.471 0.000
Y 7.480 -5.008 2.500
Er 2.507 2.491 0.000
Er 4.975 2.495 2.500
Er 2.510 0.000 2.500
Er 2.507 -2.491 0.000
Er 5.004 0.000 0.000
Er 4.975 -2.495 2.500
Er 9.985 2.495 2.500
Er 9.956 0.000 0.000
Er 12.452 2.491 0.000
Er 12.450 0.000 2.500
Er 9.985 -2.495 2.500
Er 12.452 -2.491 0.000
Th 7.480 0.000 2.500

29
Lattice="0.000 7.834 7.834 7.834 0.000 7.834 7.834 7.834 0.000" Properties=species:S:1:pos:R:3 comment="Y16Er7Th6 | the Alexandria database | PBE | optimized geometry" final_energy_ev_per_atom=-5.89 delta_e_f_ev_per_atom=0.315 spacegroup="No. 225" pbc="T T T"
Y 10.322 5.347 5.347
Y 1.867 1.867 1.867
Y 5.968 5.968 1.867
Y 5.968 1.867 5.968
Y 5.347 5.347 5.347
Y 10.322 10.322 5.347
Y 10.322 5.347 10.322
Y 13.802 9.701 9.701
Y 1.867 5.968 5.968
Y 5.347 10.322 5.347
Y 5.347 5.347 10.322
Y 10.322 10.322 10.322
Y 9.701 13.802 9.701
Y 9.701 9.701 13.802
Y 13.802 13.802 13.802
Y 5.347 10.322 10.322
Er 0.000 0.000 0.000
Er 3.917 3.917 0.000
Er 3.917 0.000 3.917
Er 7.834 3.917 3.917
Er 0.000 3.917 3.917
Er 3.917 7.834 3.917
Er 3.917 3.917 7.834
Th 7.834 7.834 5.190
Th 7.834 5.190 7.834
Th 10.479 7.834 7.834
Th 5.190 7.834 7.834
Th 7.834 10.479 7.834
Th 7.834 7.834 10.479

11
Lattice="7.035 0.000 0.000 -3.518 6.093 0.000 0.000 0.000 8.481" Properties=species:S:1:pos:R:3 comment="YEr7Th3 | the Alexandria database | PBE | optimized geometry" final_energy_ev_per_atom=-5.30 delta_e_f_ev_per_atom=0.210 spacegroup="No. 156" pbc="T T T"
Y 0.000 0.000 0.000
Er -1.746 3.054 0.024
Er 1.750 1.010 2.875
Er 0.000 4.062 2.888
Er 1.746 3.054 0.024
Er 0.000 6.078 0.024
Er 5.285 1.010 2.875
Er 3.518 4.072 2.875
Th 0.000 2.036 5.680
Th -1.755 5.075 5.680
Th 1.755 5.075 5.680

8
Lattice="5.863 -6.633 0.000 5.863 6.633 0.000 0.000 0.000 3.364" Properties=species:S:1:pos:R:3 comment="Y3Er4Th | the Alexandria database | PBE | optimized geometry" final_energy_ev_per_atom=-5.19 delta_e_f_ev_per_atom=0.441 spacegroup="No. 65" pbc="T T T"
Y 0.000 0.000 0.000
Y 2.931 3.317 1.682
Y 2.931 -3.317 1.682
Er 5.863 3.305 0.000
Er 3.017 0.000 1.682
Er 8.708 0.000 1.682
Er 5.863 -3.305 0.000
Th 5.863 0.000 0.000

11
Lattice="-3.771 3.771 6.594 3.771 -3.771 6.594 3.771 3.771 -6.594" Properties=species:S:1:pos:R:3 comment="Y4Er6Th | the Alexandria database | PBE | optimized geometry" final_energy_ev_per_atom=-5.02 delta_e_f_ev_per_atom=0.494 spacegroup="No. 121" pbc="T T T"
Y 2.469 2.469 -1.033
Y 1.303 -1.303 7.627
Y 1.303 1.303 5.561
Y -1.303 1.303 7.627
Er 3.771 0.000 0.000
Er 1.988 -1.988 4.234
Er 1.783 1.783 2.360
Er 0.000 3.771 0.000
Er -1.988 1.988 4.234
Er 1.988 1.988 8.954
Th 0.000 0.000 0.000

14
Lattice="9.431 0.000 0.000 -4.716 8.168 0.000 0.000 0.000 5.814" Properties=species:S:1:pos:R:3 comment="YEr3Th3 | the Alexandria database | PBE | optimized geometry" final_energy_ev_per_atom=-6.02 delta_e_f_ev_per_atom=0.037 spacegroup="No. 176" pbc="T T T"
Y 0.000 5.445 1.454
Y 4.716 2.723 4.361
Er -2.065 5.070 4.361
Er 1.357 3.845 4.361
Er 4.008 0.747 1.454
Er 0.707 7.421 4.361
Er 3.359 4.323 1.454
Er 6.780 3.098 1.454
Th -3.395 6.629 1.454
Th 0.673 1.913 1.454
Th 1.993 0.374 4.361
Th 2.723 7.794 1.454
Th 4.043 6.255 4.361
Th 8.111 1.539 4.361

9
Lattice="7.527 -2.520 0.000 7.527 2.520 0.000 -2.582 0.000 7.599" Properties=species:S:1:pos:R:3 comment="Y3Er2Th4 | the Alexandria database | PBE | optimized geometry" final_energy_ev_per_atom=-6.43 delta_e_f_ev_per_atom=0.036 spacegroup="No. 12" pbc="T T T"
Y 0.000 0.000 0.000
Y -0.010 0.000 5.085
Y 12.482 0.000 2.514
Er 4.911 0.000 5.067
Er 7.562 0.000 2.533
Th 2.498 0.000 2.534
Th 2.408 0.000 7.566
Th 10.065 0.000 0.033
Th 9.975 0.000 5.065

5
Lattice="-2.964 2.964 4.931 2.964 -2.964 4.931 2.964 2.964 -4.931" Properties=species:S:1:pos:R:3 comment="YEr2Th2 | the Alexandria database | PBE | optimized geometry" final_energy_ev_per_atom=-5.44 delta_e_f_ev_per_atom=0.650 spacegroup="No. 139" pbc="T T T"
Y 0.000 0.000 0.000
Er 2.964 0.000 2.466
Er 0.000 2.964 2.466
Th 0.000 0.000 3.461
Th 0.000 0.000 6.401

What did the eighth record say?
5
Lattice="-2.964 2.964 4.931 2.964 -2.964 4.931 2.964 2.964 -4.931" Properties=species:S:1:pos:R:3 comment="YEr2Th2 | the Alexandria database | PBE | optimized geometry" final_energy_ev_per_atom=-5.44 delta_e_f_ev_per_atom=0.650 spacegroup="No. 139" pbc="T T T"
Y 0.000 0.000 0.000
Er 2.964 0.000 2.466
Er 0.000 2.964 2.466
Th 0.000 0.000 3.461
Th 0.000 0.000 6.401